[1]
This record from Alexandria describes a geometry-optimized AcYGePb structure. The functional is PBE-GGA.

Unit cell a=5.518 b=5.518 c=5.518 alpha=60.00 beta=60.00 gamma=60.00
Element x y z (fractional)
Ac 0.000 0.000 0.000
Y 0.500 0.500 0.500
Ge 0.750 0.750 0.750
Pb 0.250 0.250 0.250

Results
electronic total energy	-20.58	eV for the cell shown
E_form	-420	meV/atom
theoretical density	8.3	g/cm³

***

[2]
This record from Alexandria describes a geometry-optimized Pm12HoTm7 structure. The functional is PBE-GGA.

Unit cell a=11.479 b=11.479 c=11.479 alpha=116.87 beta=116.87 gamma=116.87
Element x y z (fractional)
Pm 0.000 0.413 0.587
Pm 0.000 0.587 0.413
Pm 0.085 0.438 0.086
Pm 0.086 0.085 0.438
Pm 0.413 0.000 0.587
Pm 0.413 0.587 0.000
Pm 0.438 0.086 0.085
Pm 0.562 0.914 0.915
Pm 0.587 0.000 0.413
Pm 0.587 0.413 0.000
Pm 0.914 0.915 0.562
Pm 0.915 0.562 0.914
Ho 0.500 0.500 0.500
Tm 0.000 0.000 0.000
Tm 0.131 0.374 0.375
Tm 0.374 0.375 0.131
Tm 0.375 0.131 0.374
Tm 0.625 0.869 0.626
Tm 0.626 0.625 0.869
Tm 0.869 0.626 0.625

Results
offset from the most stable computed form	18	meV per atom
electronic total energy	-87.99	eV for the cell shown
E_form	245	meV/atom
theoretical density	7.5	g/cm³

***

[3]
This record from Alexandria describes a geometry-optimized Zr2Mn3 structure. The functional is PBE-GGA.

Unit cell a=7.896 b=7.896 c=7.896 alpha=26.73 beta=26.73 gamma=26.73
Element x y z (fractional)
Zr 0.086 0.086 0.086
Zr 0.914 0.914 0.914
Mn 0.329 0.329 0.329
Mn 0.500 0.500 0.500
Mn 0.671 0.671 0.671

Results
offset from the most stable computed form	322	meV per atom
electronic total energy	-43.33	eV for the cell shown
E_form	255	meV/atom
theoretical density	6.6	g/cm³

***

Which of these has the highest E_form? Zr2Mn3

***

Which of these has the lowest theoretical density? Zr2Mn3

***

Number 2 is which compound? Pm12HoTm7

***

The highest electronic total energy belongs to which entry? AcYGePb